Entry 1:
## Er7Mg2Te2 (GGA-PBE)

Data for an optimized crystal structure of Er7Mg2Te2.

* final energy: -4.135 eV/atom

The structure in POSCAR format:
```
Er7Mg2Te2
1.0
0.146 -1.280 9.346
8.148 2.181 -4.227
-8.377 1.968 3.867
Er Mg Te
7 2 2
Direct
0.633 0.953 0.680
0.923 0.562 0.361
0.615 0.738 0.878
0.860 0.738 0.122
0.200 0.562 0.639
0.326 0.326 0.000
0.273 0.953 0.320
0.478 0.248 0.230
0.018 0.248 0.770
0.987 0.987 0.000
0.591 0.091 0.500
```

Entry 2:
## ErMgTlTe3 (GGA-PBE)

Data for an optimized crystal structure of ErMgTlTe3.

* final energy: -3.929 eV/atom

The structure in POSCAR format:
```
ErMgTlTe3
1.0
-9.337 -8.857 8.573
2.787 -3.440 -0.518
5.887 3.291 9.812
Er Mg Te Tl
4 4 12 4
Direct
0.975 0.750 0.152
0.025 0.250 0.848
0.475 0.750 0.348
0.525 0.250 0.652
0.020 0.750 0.600
0.520 0.750 0.900
0.480 0.250 0.100
0.980 0.250 0.400
0.353 0.250 0.264
0.090 0.750 0.378
0.601 0.250 0.420
0.147 0.750 0.764
0.101 0.250 0.080
0.647 0.750 0.736
0.899 0.750 0.920
0.399 0.750 0.580
0.590 0.750 0.122
0.410 0.250 0.878
0.910 0.250 0.622
0.853 0.250 0.236
0.263 0.750 0.050
0.237 0.250 0.550
0.763 0.750 0.450
0.737 0.250 0.950
```

Entry 3:
## ErMgTlTe3 (GGA-PBE)

Data for an optimized crystal structure of ErMgTlTe3.

* final energy: -3.929 eV/atom

The structure in POSCAR format:
```
ErMgTlTe3
1.0
-1.384 7.673 1.976
-0.976 -7.782 1.782
9.884 0.183 6.212
Te Er Mg Tl
6 2 2 2
Direct
0.366 0.634 0.948
0.366 0.634 0.552
0.634 0.366 0.052
0.925 0.075 0.250
0.075 0.925 0.750
0.634 0.366 0.448
0.000 0.000 0.500
0.000 0.000 0.000
0.536 0.464 0.250
0.464 0.536 0.750
0.758 0.242 0.750
0.242 0.758 0.250
```

Entry 4:
## ErMgTl (GGA-PBE)

Data for an optimized crystal structure of ErMgTl.

* final energy: -2.564 eV/atom

The structure in POSCAR format:
```
ErMgTl
1.0
-4.544 0.625 2.086
-1.972 4.619 0.406
-3.927 1.323 -2.866
Er Mg Tl
1 1 1
Direct
0.000 0.000 0.000
0.250 0.250 0.250
0.750 0.750 0.750
```

Entry 5:
## ErMgTl (GGA-PBE)

Data for an optimized crystal structure of ErMgTl.

* final energy: -2.978 eV/atom

The structure in POSCAR format:
```
ErMgTl
1.0
0.000 3.483 3.483
3.483 0.000 3.483
3.483 3.483 0.000
Er Mg Tl
1 1 1
Direct
0.250 0.250 0.250
0.750 0.750 0.750
0.000 0.000 0.000
```

Entry 6:
## ErMgTl (GGA-PBE)

Data for an optimized crystal structure of ErMgTl.

* final energy: -3.128 eV/atom

The structure in POSCAR format:
```
ErMgTl
1.0
-4.800 -3.366 -4.645
0.281 -2.021 7.196
-3.217 3.181 1.019
Tl Mg Er
3 3 3
Direct
0.333 0.667 0.500
0.000 0.000 0.000
0.667 0.333 0.500
0.757 0.757 0.500
0.000 0.243 0.500
0.243 0.000 0.500
0.432 0.432 0.000
0.000 0.568 0.000
0.568 0.000 0.000
```

Entry 7:
## ErMg6Tl (GGA-PBE)

Data for an optimized crystal structure of ErMg6Tl.

* final energy: -2.027 eV/atom

The structure in POSCAR format:
```
ErMg6Tl
1.0
-2.766 -0.783 -5.993
3.126 -5.094 2.909
-4.432 -1.444 2.234
Mg Tl Er
6 1 1
Direct
0.997 0.498 0.500
0.345 0.172 0.000
0.828 0.172 0.000
0.502 0.003 0.500
0.828 0.655 0.000
0.502 0.498 0.500
0.000 0.000 0.500
0.333 0.667 0.000
```

Entry 8:
## Er5MgTl3 (GGA-PBE)

Data for an optimized crystal structure of Er5MgTl3.

* final energy: -3.774 eV/atom

The structure in POSCAR format:
```
Er5MgTl3
1.0
-6.581 -5.985 -2.331
3.612 -0.200 8.455
-4.593 4.248 2.063
Er Tl Mg
10 6 2
Direct
0.333 0.667 0.000
0.667 0.333 0.500
0.700 0.700 0.750
0.700 0.000 0.250
0.667 0.333 0.000
0.333 0.667 0.500
0.300 0.300 0.250
0.000 0.300 0.750
0.000 0.700 0.250
0.300 0.000 0.750
0.362 0.362 0.750
0.362 0.000 0.250
0.638 0.000 0.750
0.638 0.638 0.250
0.000 0.362 0.250
0.000 0.638 0.750
0.000 0.000 0.000
0.000 0.000 0.500
```